A relaxed KNdCuBr5 crystal. Source: Alexandria via LeMat-Bulk, functional PBE.

Unit cell a=9.331 b=12.561 c=10.712 alpha=90.00 beta=113.19 gamma=90.00
Space group C2/c (No. 15)
Asymmetric unit:
K: 0.000 0.141 0.250 x4
Nd: 0.000 0.500 0.000 x4
Cu: 0.000 0.189 0.750 x4
Br: 0.000 0.407 0.250 x4
Br: 0.121 0.296 0.626 x8
Br: 0.181 0.070 0.931 x8

energy relative to the elements, uncorrected: -11.4 eV per formula unit
electronic total energy: -3.72 eV/atom

***

A relaxed LaTlNi crystal. Source: Alexandria via LeMat-Bulk, functional PBE.

Unit cell a=7.084 b=7.084 c=7.084 alpha=90.00 beta=90.00 gamma=90.00
Space group F-43m (No. 216)
Asymmetric unit:
La: 0.000 0.000 0.000 x4
Tl: 0.250 0.250 0.250 x4
Ni: 0.250 0.250 0.750 x4

electronic total energy: -3.99 eV/atom
energy of formation: 0.3718 eV per atom

***

A relaxed AcCeDy2P4 crystal. Source: Alexandria via LeMat-Bulk, functional PBE.

Unit cell a=7.169 b=4.142 c=7.186 alpha=90.00 beta=109.38 gamma=90.00
Space group P2/m (No. 10)
Asymmetric unit:
Ac: 0.000 0.000 0.000 x1
Ce: 0.000 0.500 0.500 x1
Dy: 0.500 0.000 0.500 x1
Dy: 0.500 0.500 0.000 x1
P: 0.260 0.000 0.744 x2
P: 0.266 0.500 0.266 x2

electronic total energy: -6.62 eV/atom
energy of formation: -1.5061 eV per atom

***

A relaxed CsLiHfBr6 crystal. Source: Alexandria via LeMat-Bulk, functional PBE.

Unit cell a=7.0756 b=7.0756 c=16.2728 alpha=90.00 beta=90.00 gamma=120.00
Space group P-31c (No. 163)
Asymmetric unit:
Cs: 0.0000 0.0000 0.0000 x2
Li: 0.3333 0.6667 0.2500 x2
Hf: 0.3333 0.6667 0.7500 x2
Br: 0.0153 0.3820 0.6562 x12

energy relative to the elements, uncorrected: -14.0 eV per formula unit
electronic total energy: -4.08 eV/atom

***

A relaxed NdTmGa2 crystal. Source: Alexandria via LeMat-Bulk, functional PBE.

Unit cell a=3.6858 b=3.6858 c=26.3858 alpha=90.00 beta=90.00 gamma=120.00
Space group R-3m (No. 166, hexagonal axes)
Asymmetric unit:
Nd: 0.0000 0.0000 0.0000 x3
Tm: 0.0000 0.0000 0.5000 x3
Ga: 0.0000 0.0000 0.2466 x6

electronic total energy: -4.21 eV/atom
energy of formation: -0.3842 eV per atom

***

A relaxed KInP crystal. Source: Alexandria via LeMat-Bulk, functional PBE.

Unit cell a=7.161 b=7.161 c=7.161 alpha=90.00 beta=90.00 gamma=90.00
Space group F-43m (No. 216)
Asymmetric unit:
K: 0.000 0.000 0.000 x4
In: 0.000 0.000 0.500 x4
P: 0.250 0.250 0.250 x4

electronic total energy: -3.09 eV/atom
energy of formation: -0.0130 eV per atom

***

A relaxed PaZnInPt crystal. Source: Alexandria via LeMat-Bulk, functional PBE.

Unit cell a=6.865 b=6.865 c=6.865 alpha=90.00 beta=90.00 gamma=90.00
Space group F-43m (No. 216)
Asymmetric unit:
Pa: 0.000 0.000 0.000 x4
Zn: 0.250 0.250 0.750 x4
In: 0.000 0.000 0.500 x4
Pt: 0.250 0.250 0.250 x4

electronic total energy: -5.37 eV/atom
energy of formation: -0.4835 eV per atom

***

Which of these has the lowest electronic total energy?
AcCeDy2P4

***

Look up the electronic total energy of the sixth one.
-3.09 eV/atom

***

Which of these has the highest electronic total energy?
KInP

***

Look up the electronic total energy of the fifth one.
-4.21 eV/atom